Below is a geometry-optimized Tb3Th2PaAs6 structure, with properties calculated at the PBE level.

Results
Theoretical density, g/cm3: 8.8
Formation energy, meV/atom: -1409
Calculated total energy, eV/atom: -6.919

Cell and atoms, written as POSCAR:
```
Tb3Th2PaAs6
1.0
9.0740 -2.0892 0.0000
9.0740 2.0892 0.0000
-1.8619 0.0000 8.1038
Tb Th Pa As
3 2 1 6
Direct
0.0000 0.0000 0.0000
0.3318 0.3318 0.6663
0.6682 0.6682 0.3337
0.3334 0.3334 0.1655
0.6666 0.6666 0.8345
0.0000 0.0000 0.5000
0.1649 0.1649 0.0880
0.1645 0.1645 0.5774
0.4977 0.4977 0.7442
0.5023 0.5023 0.2558
0.8355 0.8355 0.4226
0.8351 0.8351 0.9120
```


Below is a geometry-optimized Rb2LiAgF4 structure, with properties calculated at the PBE level.

Results
Theoretical density, g/cm3: 3.7
Calculated total energy, eV/atom: -3.955

Cell and atoms, written as POSCAR:
```
Rb2LiAgF4
1.0
0.0000 5.9966 10.3029
2.6578 0.0000 10.3029
2.6578 5.9966 0.0000
Rb Li Ag F
4 2 2 8
Direct
0.0561 0.0561 0.6939
0.3061 0.3061 0.9439
0.6939 0.6939 0.0561
0.9439 0.9439 0.3061
0.3750 0.3750 0.3750
0.6250 0.6250 0.6250
0.1250 0.1250 0.1250
0.8750 0.8750 0.8750
0.0207 0.6361 0.5138
0.3294 0.5138 0.6361
0.3639 0.9793 0.6706
0.4862 0.6706 0.9793
0.5138 0.3294 0.0207
0.6361 0.0207 0.3294
0.6706 0.4862 0.3639
0.9793 0.3639 0.4862
```


Below is a geometry-optimized K5AuBr4 structure, with properties calculated at the PBE level.

Results
Theoretical density, g/cm3: 3.1
Calculated total energy, eV/atom: -2.994

Cell and atoms, written as POSCAR:
```
K5AuBr4
1.0
7.8936 -2.3674 0.0000
7.8936 2.3674 0.0000
-5.7662 0.0000 10.1405
K Au Br
5 1 4
Direct
0.0000 0.0000 0.0000
0.2010 0.2010 0.8034
0.3970 0.3970 0.6026
0.6030 0.6030 0.3974
0.7990 0.7990 0.1966
0.0000 0.0000 0.5000
0.2011 0.2011 0.2985
0.4009 0.4009 0.1000
0.5991 0.5991 0.9000
0.7989 0.7989 0.7015
```


Below is a geometry-optimized KPmAu2 structure, with properties calculated at the PBE level.

Results
Theoretical density, g/cm3: 9.1
Formation energy, meV/atom: -432
Calculated total energy, eV/atom: -3.532

Cell and atoms, written as POSCAR:
```
KPmAu2
1.0
5.4529 0.0000 0.0000
0.0000 5.4529 0.0000
0.0000 0.0000 3.5285
K Pm Au
1 1 2
Direct
0.0000 0.0000 0.0000
0.5000 0.5000 0.0000
0.0000 0.5000 0.5000
0.5000 0.0000 0.5000
```